Record 1
SmCdIr | OQMD via LeMat-Bulk | PBE | optimized geometry; space group = F-43m; energy of formation from the pure elements = 0.2053 eV per atom; total magnetic moment = 0.00 μB/cell
1.0
0.000 3.391 3.391
3.391 0.000 3.391
3.391 3.391 0.000
Sm Cd Ir
1 1 1
Direct
0.000 0.000 0.000 Sm
0.750 0.750 0.750 Cd
0.250 0.250 0.250 Ir

Record 2
SmCdIr | OQMD via LeMat-Bulk | PBE | optimized geometry; space group = F-43m; energy of formation from the pure elements = -0.3818 eV per atom; total magnetic moment = 0.00 μB/cell
1.0
0.000 3.340 3.340
3.340 0.000 3.340
3.340 3.340 0.000
Sm Cd Ir
1 1 1
Direct
0.000 0.000 0.000 Sm
0.500 0.500 0.500 Cd
0.750 0.750 0.750 Ir